Zr2AsBr GGA-PBEsol relaxed; E_form (uncorrected) = -0.749 eV per atom
1.0
-0.161 -2.096 -2.605
2.903 -2.980 2.219
-3.708 -2.152 1.961
Br As Zr
1 1 2
Cartesian
-0.080 -1.048 -1.302 Br
-0.483 -3.614 0.787 As
1.451 -1.490 1.109 Zr
-1.854 -1.076 0.980 Zr

=====

SrMgRe2 GGA-PBEsol relaxed; formation enthalpy at 0 K = 1.0551 eV per atom
1.0
3.910 0.000 0.000
0.000 3.910 0.000
0.000 0.000 4.876
Sr Re Mg
1 2 1
Cartesian
1.955 1.955 2.438 Sr
1.955 0.000 0.000 Re
0.000 1.955 0.000 Re
0.000 0.000 2.438 Mg

=====

MgHg5 GGA-PBEsol relaxed; formation enthalpy at 0 K = -0.0841 eV per atom
1.0
-2.133 -1.706 2.084
2.333 0.157 2.516
-4.506 9.979 3.557
Hg Mg
5 1
Cartesian
-0.683 0.960 2.918 Hg
-2.935 6.500 2.317 Hg
-1.571 3.479 1.240 Hg
0.000 0.000 0.000 Hg
-3.622 7.470 5.238 Hg
-2.153 4.215 4.078 Mg

=====

CuP2BrCl GGA-PBEsol relaxed; E_form (uncorrected) = 0.585 eV per atom
1.0
4.538 0.000 0.000
0.000 4.562 0.000
0.000 0.000 4.562
P Cu Br Cl
2 1 1 1
Cartesian
0.000 0.000 2.281 P
0.000 2.281 0.000 P
0.000 0.000 0.000 Cu
2.269 2.281 2.281 Br
2.269 0.000 0.000 Cl

=====

Cs4TlSbCl12 GGA-PBEsol relaxed; E_form (uncorrected) = -1.345 eV per atom
1.0
10.399 0.000 0.000
0.000 10.399 0.000
-5.200 -5.200 10.307
Cs Cl Sb Tl
8 24 2 2
Cartesian
2.317 2.600 2.577 Cs
2.600 2.883 7.731 Cs
8.082 7.800 2.577 Cs
-2.600 2.883 7.731 Cs
8.082 2.600 2.577 Cs
-2.600 -2.883 7.731 Cs
2.600 -2.883 7.731 Cs
2.317 7.800 2.577 Cs
7.799 0.000 0.081 Cl
5.200 -2.398 5.134 Cl
2.802 0.000 5.173 Cl
0.000 5.200 2.556 Cl
0.000 5.200 7.751 Cl
7.799 5.200 5.073 Cl
0.000 -2.599 5.235 Cl
5.200 5.200 2.393 Cl
5.200 7.598 0.019 Cl
5.200 2.599 10.226 Cl
5.200 0.000 7.547 Cl
5.200 5.200 7.710 Cl
5.200 0.000 2.761 Cl
0.000 0.000 2.597 Cl
2.600 0.000 0.081 Cl
-2.398 0.000 10.288 Cl
0.000 2.599 5.235 Cl
0.000 0.000 7.914 Cl
5.200 -2.599 10.226 Cl
5.200 2.802 0.019 Cl
7.598 0.000 5.173 Cl
2.398 0.000 10.288 Cl
5.200 2.398 5.134 Cl
2.600 5.200 5.073 Cl
5.200 5.200 0.000 Sb
5.200 0.000 5.154 Sb
0.000 0.000 0.000 Tl
0.000 5.200 5.154 Tl

=====

CdOs2Br GGA-PBEsol relaxed; E_form (uncorrected) = 0.522 eV per atom
1.0
-0.102 -2.398 -1.667
2.437 -0.989 1.273
-4.532 -3.791 5.730
Cd Br Os
1 1 2
Cartesian
-2.407 -4.684 4.323 Cd
-2.068 -1.730 2.615 Br
0.157 -2.539 1.081 Os
-0.145 -0.121 0.183 Os

=====

Zr5Ti7O24 GGA-PBEsol relaxed; E_form (uncorrected) = -3.223 eV per atom
1.0
-0.093 -4.492 2.784
-2.907 -5.045 -8.132
13.782 -2.412 -3.431
O Zr Ti
48 10 14
Cartesian
10.749 -3.491 -4.540 O
-1.699 -5.199 -4.617 O
11.312 -4.026 -1.934 O
3.189 -3.522 -4.674 O
9.989 -8.643 -4.165 O
9.101 -1.999 -2.229 O
11.609 -9.736 -6.498 O
3.067 -5.974 -3.774 O
7.717 -6.568 -4.436 O
0.168 -6.670 -4.954 O
5.686 -5.659 -2.561 O
-1.329 -4.890 -1.941 O
8.515 -4.585 -2.840 O
5.013 -5.768 -5.310 O
1.841 -6.062 -8.782 O
-2.650 -7.333 -5.824 O
1.521 -4.136 -0.908 O
8.582 -11.157 -8.263 O
3.849 -6.026 -0.339 O
11.028 -7.574 -10.825 O
-0.587 -7.314 -7.341 O
0.716 -7.203 -2.344 O
9.719 -6.565 -5.886 O
2.397 -6.641 -6.189 O
4.546 -3.452 0.278 O
9.155 -8.509 -7.556 O
6.376 -9.111 -8.515 O
10.511 -6.010 -3.496 O
2.448 -8.555 -4.377 O
4.287 -8.187 -6.624 O
4.674 -6.004 -8.118 O
6.081 -3.470 -4.024 O
2.332 -4.750 1.761 O
3.817 -4.108 -2.114 O
7.093 -7.116 -6.955 O
9.373 -6.032 -8.671 O
6.833 -9.666 -5.912 O
12.831 -7.219 -2.426 O
8.251 -7.143 -1.838 O
0.816 -4.767 -3.282 O
6.759 -5.551 0.064 O
12.481 -4.949 -6.543 O
5.283 -8.085 -3.990 O
7.621 -4.512 -6.296 O
-0.439 -2.597 -0.452 O
1.510 -2.140 -2.606 O
0.127 -4.715 -6.720 O
6.486 -3.265 -1.242 O
10.986 -6.110 -7.349 Zr
9.143 -4.867 -4.821 Zr
9.882 -5.750 -1.519 Zr
0.759 -3.798 1.006 Zr
2.293 -5.920 -1.778 Zr
8.398 -8.238 -5.551 Zr
1.633 -4.829 -5.275 Zr
0.933 -8.461 -5.824 Zr
3.139 -2.287 -1.194 Zr
7.764 -7.400 -8.949 Zr
5.303 -9.668 -7.127 Ti
10.113 -10.069 -7.713 Ti
7.517 -3.033 -2.770 Ti
-0.620 -6.280 -3.230 Ti
3.143 -7.048 -7.958 Ti
3.806 -7.414 -4.894 Ti
0.143 -3.293 -2.183 Ti
4.534 -4.503 -3.889 Ti
5.239 -4.914 -0.820 Ti
11.517 -7.543 -3.741 Ti
-1.311 -5.821 -6.356 Ti
6.696 -7.147 -3.034 Ti
6.076 -5.583 -6.837 Ti
12.314 -3.512 -3.402 Ti

=====

TcAg2Cl GGA-PBEsol relaxed; E_form (uncorrected) = 0.817 eV per atom
1.0
-2.281 -1.076 -3.838
4.368 1.375 -0.234
-1.024 -4.115 1.763
Ag Tc Cl
2 1 1
Cartesian
0.000 0.000 0.000 Ag
0.217 -1.148 -2.555 Ag
0.846 -2.668 0.246 Tc
-1.652 -2.596 -1.037 Cl

=====

PdBr2F GGA-PBEsol relaxed; E_form (uncorrected) = 0.020 eV per atom
1.0
-0.746 2.356 -1.722
-2.899 0.682 -0.445
-1.074 6.215 6.335
Br F Pd
2 1 1
Cartesian
-3.607 4.448 -0.254 Br
-1.112 4.805 4.422 Br
-2.359 4.627 2.084 F
0.000 0.000 0.000 Pd

=====

SrAsPt2 GGA-PBEsol relaxed; formation enthalpy at 0 K = -0.2588 eV per atom
1.0
-0.364 -2.390 3.372
2.297 -2.932 -1.829
2.657 4.459 0.895
Sr As Pt
1 1 2
Cartesian
0.966 -2.661 0.772 Sr
2.960 -0.567 -0.082 As
0.000 0.000 0.000 Pt
1.629 -0.296 2.519 Pt

=====

CsSc3S GGA-PBEsol relaxed; E_form (uncorrected) = 1.429 eV per atom
1.0
-1.354 -1.571 -4.720
-4.410 -1.886 1.893
-2.304 4.534 -0.848
S Sc Cs
1 3 1
Cartesian
-4.034 0.538 -1.838 S
-0.677 -0.786 -2.360 Sc
-1.152 2.267 -0.424 Sc
-2.205 -0.943 0.946 Sc
0.000 0.000 0.000 Cs

=====

Zr4O GGA-PBEsol relaxed; E_form (uncorrected) = -1.169 eV per atom
1.0
-1.269 5.099 1.884
-5.289 1.782 -0.117
-3.693 -1.561 10.006
O Zr
3 12
Cartesian
0.000 0.000 0.000 O
-2.563 1.328 2.948 O
-7.687 3.992 8.826 O
-4.984 5.848 2.993 Zr
-5.267 -0.528 8.781 Zr
-3.540 1.604 7.089 Zr
-3.608 4.253 5.401 Zr
-4.502 1.433 4.103 Zr
-5.749 3.887 7.670 Zr
-6.711 3.716 4.684 Zr
-5.935 2.983 1.668 Zr
-2.758 3.494 2.385 Zr
-4.316 2.337 10.105 Zr
-7.492 1.827 9.388 Zr
-6.643 1.068 6.373 Zr

=====

no.,total magnetization (μB/f.u.)
1,0.00
2,0.00
3,0.00
4,0.23
5,0.00
6,0.00
7,0.00
8,3.37
9,0.00
10,0.00
11,0.00
12,0.00